Record 1
Entry from Alexandria via LeMat-Bulk: AlRu2Rh after structural relaxation (PBE).

Summary:
energy: -7.567 eV per atom
energy relative to the elements: -0.622 eV per formula unit
V: 14.16 Å³/atom

a = 2.8827 Å, b = 4.3975 Å, c = 4.4678 Å
α = 90.00°, β = 90.00°, γ = 90.00°
With the nearest neighbours (Å) after each atom.
Space group Pmmm (No. 47)
One atom of each set of equivalent atoms:
Al (0.0000, 0.0000, 0.0000) (multiplicity 1)  4 Rh 2.63, 4 Ru 2.66, 2 Al 2.88
Ru (0.0000, 0.5000, 0.5000) (multiplicity 1)  6 Ru 2.63-2.88, 4 Rh 2.66
Ru (0.5000, 0.0000, 0.5000) (multiplicity 1)  6 Ru 2.63-2.88, 4 Al 2.66
Rh (0.5000, 0.5000, 0.0000) (multiplicity 1)  4 Al 2.63, 4 Ru 2.66, 2 Rh 2.88

=====

Record 2
Entry from Alexandria via LeMat-Bulk: AcErTm2Se4 after structural relaxation (PBE).

Summary:
energy relative to the elements, uncorrected: -1.6800 eV per atom
energy: -5.624 eV per atom
V: 25.15 Å³/atom

a = 7.1348 Å, b = 4.0493 Å, c = 7.3357 Å
α = 90.00°, β = 108.29°, γ = 90.00°
With the nearest neighbours (Å) after each atom.
Space group P2/m (No. 10)
One atom of each set of equivalent atoms:
Ac (0.0000, 0.0000, 0.0000) (multiplicity 1)  6 Se 3.06-3.07
Er (0.0000, 0.5000, 0.5000) (multiplicity 1)  6 Se 2.93
Tm (0.5000, 0.0000, 0.5000) (multiplicity 1)  6 Se 2.80
Tm (0.5000, 0.5000, 0.0000) (multiplicity 1)  6 Se 2.93-2.94
Se (0.2617, 0.0000, 0.7396) (multiplicity 2)  3 Tm 2.80-2.93, 2 Er 2.93, 1 Ac 3.06
Se (0.2727, 0.5000, 0.2726) (multiplicity 2)  3 Tm 2.80-2.94, 1 Er 2.93, 2 Ac 3.07

=====

Record 3
Entry from Alexandria via LeMat-Bulk: NaNiN after structural relaxation (PBE).

Summary:
energy relative to the elements, uncorrected: 0.0266 eV per atom
energy above the most stable polymorph in this dataset: 0.98 kJ per mole of atoms
energy: -5.115 eV per atom
V: 14.63 Å³/atom

a = 6.7016 Å, b = 6.7446 Å, c = 3.8844 Å
α = 90.00°, β = 90.00°, γ = 90.00°
With the nearest neighbours (Å) after each atom.
Space group Cmmm (No. 65)
One atom of each set of equivalent atoms:
Na (0.0000, 0.2297, 0.0000) (multiplicity 4)  4 N 2.57
Ni (0.2025, 0.5000, 0.5000) (multiplicity 4)  2 N 1.72
N (0.2500, 0.2500, 0.5000) (multiplicity 4)  2 Ni 1.72

=====

Record 4
Entry from Alexandria via LeMat-Bulk: Ba2CeSe2O2 after structural relaxation (PBE).

Summary:
energy relative to the elements, uncorrected: -2.5329 eV per atom
energy: -6.342 eV per atom
V: 25.27 Å³/atom

a = 4.5569 Å, b = 4.5569 Å, c = 17.0346 Å
α = 90.00°, β = 90.00°, γ = 90.00°
With the nearest neighbours (Å) after each atom.
Space group I4/mmm (No. 139)
One atom of each set of equivalent atoms:
Ba (0.0000, 0.0000, 0.1325) (multiplicity 4)  4 O 3.21, 5 Se 3.29-3.35
Ce (0.0000, 0.0000, 0.5000) (multiplicity 2)  4 O 2.28
Se (0.0000, 0.0000, 0.3294) (multiplicity 4)  1 Ce 2.91
O (0.0000, 0.5000, 0.0000) (multiplicity 4)  2 Ce 2.28

=====

Record 5
Entry from Alexandria via LeMat-Bulk: Zr2ScSe after structural relaxation (PBE).

Summary:
energy relative to the elements, uncorrected: -0.3183 eV per atom
energy: -7.046 eV per atom
V: 21.11 Å³/atom

a = 4.1923 Å, b = 4.1923 Å, c = 9.6067 Å
α = 90.00°, β = 90.00°, γ = 90.00°
With the nearest neighbours (Å) after each atom.
Space group I4/mmm (No. 139)
One atom of each set of equivalent atoms:
Zr (0.0000, 0.5000, 0.2500) (multiplicity 4)  4 Zr 2.96, 4 Se 3.19, 4 Sc 3.19
Sc (0.0000, 0.0000, 0.0000) (multiplicity 2)  4 Se 2.96, 8 Zr 3.19
Se (0.0000, 0.0000, 0.5000) (multiplicity 2)  4 Sc 2.96, 8 Zr 3.19

=====

Record 6
Entry from Alexandria via LeMat-Bulk: NaReNi after structural relaxation (PBE).

Summary:
energy above the most stable polymorph in this dataset: 104.12 kJ per mole of atoms
energy: -5.192 eV per atom
energy relative to the elements: 3.973 eV per formula unit
V: 16.51 Å³/atom

a = 5.8302 Å, b = 5.8302 Å, c = 5.8302 Å
α = 90.00°, β = 90.00°, γ = 90.00°
With the nearest neighbours (Å) after each atom.
Space group F-43m (No. 216)
One atom of each set of equivalent atoms:
Na (0.0000, 0.0000, 0.0000) (multiplicity 4)  4 Ni 2.52
Re (0.0000, 0.0000, 0.5000) (multiplicity 4)  4 Ni 2.52
Ni (0.2500, 0.2500, 0.7500) (multiplicity 4)  4 Na 2.52, 4 Re 2.52

=====

Record 7
Entry from Alexandria via LeMat-Bulk: GdZn2Hg after structural relaxation (PBE).

Summary:
energy above the most stable polymorph in this dataset: 0.00 kJ per mole of atoms
energy: -4.507 eV per atom
energy relative to the elements: -1.097 eV per formula unit
V: 20.14 Å³/atom

a = 6.8560 Å, b = 6.8560 Å, c = 6.8560 Å
α = 90.00°, β = 90.00°, γ = 90.00°
With the nearest neighbours (Å) after each atom.
Space group Fm-3m (No. 225)
One atom of each set of equivalent atoms:
Gd (0.0000, 0.0000, 0.0000) (multiplicity 4)  8 Zn 2.97
Zn (0.2500, 0.2500, 0.2500) (multiplicity 8)  4 Hg 2.97, 4 Gd 2.97
Hg (0.0000, 0.0000, 0.5000) (multiplicity 4)  8 Zn 2.97

=====

Record 8
Entry from Alexandria via LeMat-Bulk: Y2SiP after structural relaxation (PBE).

Summary:
energy relative to the elements, uncorrected: -0.7670 eV per atom
energy above the most stable polymorph in this dataset: 44.23 kJ per mole of atoms
energy: -6.707 eV per atom
V: 21.69 Å³/atom

a = 4.0685 Å, b = 4.0685 Å, c = 10.4845 Å
α = 90.00°, β = 90.00°, γ = 90.00°
With the nearest neighbours (Å) after each atom.
Space group I-4m2 (No. 119)
One atom of each set of equivalent atoms:
Y (0.0000, 0.0000, 0.0000) (multiplicity 2)  4 P 2.88
Y (0.0000, 0.5000, 0.2500) (multiplicity 2)  4 Si 2.88
Si (0.0000, 0.5000, 0.7500) (multiplicity 2)  4 Y 2.88
P (0.0000, 0.0000, 0.5000) (multiplicity 2)  4 Y 2.88

=====

Record 9
Entry from Alexandria via LeMat-Bulk: BaNaAg4 after structural relaxation (PBE).

Summary:
energy: -2.562 eV per atom
energy relative to the elements: -0.727 eV per formula unit
V: 24.37 Å³/atom

a = 8.3633 Å, b = 8.3633 Å, c = 8.3633 Å
α = 90.00°, β = 90.00°, γ = 90.00°
With the nearest neighbours (Å) after each atom.
Space group F-43m (No. 216)
One atom of each set of equivalent atoms:
Ba (0.0000, 0.0000, 0.0000) (multiplicity 4)  12 Ag 3.47, 4 Na 3.62
Na (0.2500, 0.2500, 0.7500) (multiplicity 4)  12 Ag 3.46, 4 Ba 3.62
Ag (0.1236, 0.1236, 0.3764) (multiplicity 16)  6 Ag 2.92-2.99

=====

Record 10
Entry from Alexandria via LeMat-Bulk: Rb3Cd4Au3 after structural relaxation (PBE).

Summary:
energy: -1.775 eV per atom
energy relative to the elements: -1.354 eV per formula unit
V: 33.73 Å³/atom

a = 11.0494 Å, b = 11.0494 Å, c = 11.0494 Å
α = 90.00°, β = 90.00°, γ = 90.00°
With the nearest neighbours (Å) after each atom.
Space group I-43d (No. 220)
One atom of each set of equivalent atoms:
Rb (0.0000, 0.2500, 0.3750) (multiplicity 12)  4 Au 3.38, 4 Cd 3.66
Cd (0.0690, 0.0690, 0.0690) (multiplicity 16)  3 Au 3.03
Au (0.0000, 0.2500, 0.8750) (multiplicity 12)  4 Cd 3.03, 4 Rb 3.38

=====

Record 11
Entry from Alexandria via LeMat-Bulk: YAgMo2 after structural relaxation (PBE).

Summary:
energy above the most stable polymorph in this dataset: 35.66 kJ per mole of atoms
energy: -7.181 eV per atom
energy relative to the elements: 2.252 eV per formula unit
V: 18.59 Å³/atom

a = 2.8134 Å, b = 2.8134 Å, c = 9.3921 Å
α = 90.00°, β = 90.00°, γ = 90.00°
With the nearest neighbours (Å) after each atom.
Space group P4/mmm (No. 123)
One atom of each set of equivalent atoms:
Y (0.0000, 0.0000, 0.0000) (multiplicity 1)  4 Y 2.81
Ag (0.0000, 0.0000, 0.5000) (multiplicity 1)  4 Ag 2.81, 8 Mo 2.96
Mo (0.5000, 0.5000, 0.2669) (multiplicity 2)  4 Mo 2.81, 4 Ag 2.96

=====

Record 12
Entry from Alexandria via LeMat-Bulk: GeNO2F after structural relaxation (PBE).

Summary:
energy relative to the elements, uncorrected: 0.5738 eV per atom
energy: -4.372 eV per atom
V: 9.97 Å³/atom

a = 3.6367 Å, b = 3.6367 Å, c = 3.7693 Å
α = 90.00°, β = 90.00°, γ = 90.00°
With the nearest neighbours (Å) after each atom.
Space group P4/mmm (No. 123)
One atom of each set of equivalent atoms:
Ge (0.0000, 0.0000, 0.0000) (multiplicity 1)  4 F 2.57, 8 O 2.62
N (0.5000, 0.5000, 0.5000) (multiplicity 1)  4 O 1.82, 2 F 1.88
O (0.0000, 0.5000, 0.5000) (multiplicity 2)  2 N 1.82
F (0.5000, 0.5000, 0.0000) (multiplicity 1)  2 N 1.88

=====

Record 13
Entry from Alexandria via LeMat-Bulk: Tm6Mg5Sb after structural relaxation (PBE).

Summary:
energy relative to the elements, uncorrected: -0.2058 eV per atom
energy: -3.449 eV per atom
V: 25.95 Å³/atom

a = 5.3221 Å, b = 15.9962 Å, c = 7.3151 Å
α = 90.00°, β = 90.00°, γ = 90.00°
With the nearest neighbours (Å) after each atom.
Space group Cmmm (No. 65)
One atom of each set of equivalent atoms:
Tm (0.0000, 0.0000, 0.2474) (multiplicity 4)  2 Sb 3.22, 6 Mg 3.22-3.33
Tm (0.0000, 0.3339, 0.2530) (multiplicity 8)  7 Mg 3.15-3.25, 1 Sb 3.24
Mg (0.0000, 0.1649, 0.5000) (multiplicity 4)  8 Tm 3.22-3.25
Mg (0.0000, 0.1746, 0.0000) (multiplicity 4)  8 Tm 3.15-3.33
Mg (0.0000, 0.5000, 0.5000) (multiplicity 2)  8 Tm 3.21-3.24
Sb (0.0000, 0.5000, 0.0000) (multiplicity 2)  8 Tm 3.22-3.24

=====

Record 14
Entry from Alexandria via LeMat-Bulk: KSiMo2 after structural relaxation (PBE).

Summary:
energy relative to the elements, uncorrected: 1.4281 eV per atom
energy: -5.618 eV per atom
V: 18.22 Å³/atom

a = 4.0058 Å, b = 4.0058 Å, c = 4.5422 Å
α = 90.00°, β = 90.00°, γ = 90.00°
With the nearest neighbours (Å) after each atom.
Space group P4/mmm (No. 123)
One atom of each set of equivalent atoms:
K (0.0000, 0.0000, 0.0000) (multiplicity 1)  4 Si 2.83, 8 Mo 3.03
Si (0.5000, 0.5000, 0.0000) (multiplicity 1)  4 K 2.83, 8 Mo 3.03
Mo (0.0000, 0.5000, 0.5000) (multiplicity 2)  4 Mo 2.83, 4 K 3.03, 4 Si 3.03

=====

Record 15
Entry from Alexandria via LeMat-Bulk: MgAl2Tl after structural relaxation (PBE).

Summary:
energy: -2.676 eV per atom
energy relative to the elements: 0.743 eV per formula unit
V: 21.89 Å³/atom

a = 3.5747 Å, b = 5.0680 Å, c = 9.6658 Å
α = 90.00°, β = 90.00°, γ = 90.00°
With the nearest neighbours (Å) after each atom.
Space group Imm2 (No. 44)
One atom of each set of equivalent atoms:
Mg (0.0000, 0.0000, 0.0000) (multiplicity 2)  6 Al 3.02-3.11, 4 Tl 3.16-3.37
Al (0.0000, 0.0000, 0.4732) (multiplicity 2)  2 Al 2.78, 2 Tl 3.06, 4 Mg 3.11
Al (0.0000, 0.5000, 0.7523) (multiplicity 2)  2 Al 2.78, 2 Mg 3.02, 4 Tl 3.11
Tl (0.0000, 0.5000, 0.2302) (multiplicity 2)  6 Al 3.06-3.11, 4 Mg 3.16-3.37

=====

Record 16
Entry from Alexandria via LeMat-Bulk: NaCaCd2Cu after structural relaxation (PBE).

Summary:
energy: -1.846 eV per atom
energy relative to the elements: 0.017 eV per formula unit
V: 28.02 Å³/atom

a = 5.1284 Å, b = 5.1284 Å, c = 5.3277 Å
α = 90.00°, β = 90.00°, γ = 90.00°
With the nearest neighbours (Å) after each atom.
Space group P4/mmm (No. 123)
One atom of each set of equivalent atoms:
Na (0.0000, 0.0000, 0.0000) (multiplicity 1)  4 Ca 3.63, 8 Cd 3.70
Ca (0.5000, 0.5000, 0.0000) (multiplicity 1)  2 Cu 2.66
Cd (0.0000, 0.5000, 0.5000) (multiplicity 2)  2 Cu 2.56
Cu (0.5000, 0.5000, 0.5000) (multiplicity 1)  4 Cd 2.56, 2 Ca 2.66

=====

Record 17
Entry from Alexandria via LeMat-Bulk: CsNa3Sr after structural relaxation (PBE).

Summary:
energy above the most stable polymorph in this dataset: 0.00 kJ per mole of atoms
energy: -0.991 eV per atom
energy relative to the elements: 1.537 eV per formula unit
V: 73.25 Å³/atom

a = 7.1547 Å, b = 7.1547 Å, c = 7.1547 Å
α = 90.00°, β = 90.00°, γ = 90.00°
With the nearest neighbours (Å) after each atom.
Space group Pm-3m (No. 221)
One atom of each set of equivalent atoms:
Cs (0.0000, 0.0000, 0.0000) (multiplicity 1)  12 Na 5.06
Na (0.0000, 0.5000, 0.5000) (multiplicity 3)  2 Sr 3.58
Sr (0.5000, 0.5000, 0.5000) (multiplicity 1)  6 Na 3.58

=====

Record 18
Entry from Alexandria via LeMat-Bulk: K2AgMo after structural relaxation (PBE).

Summary:
energy above the most stable polymorph in this dataset: 27.00 kJ per mole of atoms
energy: -2.793 eV per atom
energy relative to the elements: 4.706 eV per formula unit
V: 32.45 Å³/atom

a = 3.8333 Å, b = 5.1955 Å, c = 6.5175 Å
α = 90.00°, β = 90.00°, γ = 90.00°
With the nearest neighbours (Å) after each atom.
Space group Pmmm (No. 47)
One atom of each set of equivalent atoms:
K (0.0000, 0.0000, 0.2416) (multiplicity 2)  2 K 3.15-3.37
Ag (0.5000, 0.5000, 0.0000) (multiplicity 1)  2 Mo 3.26, 8 K 3.59
Mo (0.5000, 0.5000, 0.5000) (multiplicity 1)  2 Ag 3.26, 8 K 3.64

=====

Record 19
Entry from Alexandria via LeMat-Bulk: K2OsRu after structural relaxation (PBE).

Summary:
energy above the most stable polymorph in this dataset: 62.39 kJ per mole of atoms
energy: -4.331 eV per atom
energy relative to the elements: 5.377 eV per formula unit
V: 20.21 Å³/atom

a = 3.7846 Å, b = 3.7846 Å, c = 5.6431 Å
α = 90.00°, β = 90.00°, γ = 90.00°
With the nearest neighbours (Å) after each atom.
Space group P4/mmm (No. 123)
One atom of each set of equivalent atoms:
K (0.0000, 0.5000, 0.0000) (multiplicity 2)  4 K 2.68
Os (0.0000, 0.0000, 0.5000) (multiplicity 1)  4 Ru 2.68
Ru (0.5000, 0.5000, 0.5000) (multiplicity 1)  4 Os 2.68